# 1
Compound: CoRh4
Source: Alexandria via LeMat-Bulk
Functional: SCAN
Structure: PBEsol geometry

Properties
**Space-group type**: C2/m (12)
**Polymorph energy (0 for the lowest one)**: 16 meV per atom
**Calculated formation energy**: 0.043 eV per atom

Unit cell a=4.560 b=4.560 c=6.439 alpha=118.59 beta=118.59 gamma=33.76
Fractional coordinates of all 5 atoms:
Co (0.000, 0.000, 0.000)
Rh (0.205, 0.205, 0.805)
Rh (0.402, 0.402, 0.606)
Rh (0.598, 0.598, 0.394)
Rh (0.795, 0.795, 0.195)

# 2
Compound: Sr2SeCl
Source: Alexandria via LeMat-Bulk
Functional: SCAN
Structure: PBEsol geometry

Properties
**Space-group type**: R3m (160)
**Energy relative to the elements, uncorrected**: -2.0096 eV per atom
**Polymorph energy (0 for the lowest one)**: 0 meV per atom

Unit cell a=7.742 b=7.742 c=7.742 alpha=32.06 beta=32.06 gamma=32.06
Fractional coordinates of all 4 atoms:
Sr (0.000, 0.000, 0.000)
Sr (0.170, 0.170, 0.170)
Se (0.415, 0.415, 0.415)
Cl (0.591, 0.591, 0.591)

# 3
Compound: LiCu2Ni
Source: Alexandria via LeMat-Bulk
Functional: SCAN
Structure: PBEsol geometry

Properties
**Space-group type**: P2/m (10)
**Polymorph energy (0 for the lowest one)**: 24 meV per atom
**Calculated formation energy**: 0.020 eV per atom

Unit cell a=2.448 b=3.654 c=4.963 alpha=90.00 beta=90.50 gamma=90.00
Fractional coordinates of all 4 atoms:
Li (0.000, 0.000, 0.000)
Cu (0.496, 0.500, 0.257)
Cu (0.504, 0.500, 0.743)
Ni (0.000, 0.000, 0.500)

# 4
Compound: CaSbAu2
Source: Alexandria via LeMat-Bulk
Functional: SCAN
Structure: PBEsol geometry

Properties
**Space-group type**: I-4m2 (119)
**Energy relative to the elements, uncorrected**: -0.5153 eV per atom

Unit cell a=5.661 b=5.661 c=5.661 alpha=136.27 beta=136.27 gamma=63.57
Fractional coordinates of all 4 atoms:
Ca (0.000, 0.000, 0.000)
Sb (0.750, 0.250, 0.500)
Au (0.250, 0.750, 0.500)
Au (0.500, 0.500, 0.000)

# 5
Compound: SiHg2MoPb
Source: Alexandria via LeMat-Bulk
Functional: SCAN
Structure: PBEsol geometry

Properties
**Space-group type**: P4/mmm (123)
**Energy relative to the elements, uncorrected**: 1.0480 eV per atom

Unit cell a=4.878 b=4.878 c=5.445 alpha=90.00 beta=90.00 gamma=90.00
Fractional coordinates of all 5 atoms:
Si (0.000, 0.000, 0.000)
Hg (0.000, 0.500, 0.000)
Hg (0.500, 0.000, 0.000)
Mo (0.500, 0.500, 0.500)
Pb (0.000, 0.000, 0.500)

# 6
Compound: Sr2Ru2Se
Source: Alexandria via LeMat-Bulk
Functional: SCAN
Structure: PBEsol geometry

Properties
**Space-group type**: I4/mmm (139)
**Energy relative to the elements, uncorrected**: 0.1451 eV per atom

Unit cell a=5.497 b=5.497 c=5.497 alpha=115.33 beta=115.33 gamma=98.31
Fractional coordinates of all 5 atoms:
Sr (0.250, 0.750, 0.500)
Sr (0.750, 0.250, 0.500)
Ru (0.159, 0.159, 0.000)
Ru (0.841, 0.841, 0.000)
Se (0.500, 0.500, 0.000)